Computed, not measured: crystalline Cs2CoAuF6 at its relaxed geometry at the GGA+U level of DFT.

a b c (Å): 6.8292 6.8292 8.1855
angles (deg): 90.00 90.00 90.00
Closest atoms and distances in Å follow each position.
Space group I4/mmm (No. 139)
Symmetry-distinct sites (fractional):
Cs (0.0000, 0.5000, 0.2500)  12 F 3.20-3.41
Co (0.0000, 0.0000, 0.0000)  6 F 1.93-2.00
Au (0.0000, 0.0000, 0.5000)  2 F 2.10
F (0.0000, 0.0000, 0.2438)  1 Co 2.00, 1 Au 2.10
F (0.2002, 0.2002, 0.0000)  1 Co 1.93

Calculated volume = 190.9 Å³/f.u.
Calculated total energy = -4.14 eV per atom